(1)
# LaTa2 GGA-PBE relaxed
data_LaTa2
_chemical_formula_sum 'La4 Ta8'
_symmetry_space_group_name_H-M 'A m m 2'
_symmetry_Int_Tables_number 38
_cell_length_a 5.146
_cell_length_b 2.970
_cell_length_c 17.918
_cell_angle_alpha 90.00
_cell_angle_beta 90.00
_cell_angle_gamma 90.00
loop_
_symmetry_equiv_pos_as_xyz
'x,y,z'
'-x,-y,z'
'-x,y,z'
'x,-y,z'
'x,y+1/2,z+1/2'
'-x,-y+1/2,z+1/2'
'-x,y+1/2,z+1/2'
'x,-y+1/2,z+1/2'
loop_
_atom_site_label
_atom_site_fract_x
_atom_site_fract_y
_atom_site_fract_z
La1 0.000 0.000 0.000
La2 0.000 0.000 0.329
Ta1 0.000 0.000 0.663
Ta2 0.500 0.000 0.108
Ta3 0.500 0.000 0.396
Ta4 0.500 0.000 0.742
# **Calculated density**: 12.15 g cm⁻³
# **DFT formation energy**: 0.600 eV per atom
# **Excess energy over the best structure of this formula in the dataset**: 289 meV per atom

***

(2)
# LaTa3 GGA-PBE relaxed
data_LaTa3
_chemical_formula_sum 'La4 Ta12'
_symmetry_space_group_name_H-M 'P n m a'
_symmetry_Int_Tables_number 62
_cell_length_a 5.514
_cell_length_b 10.480
_cell_length_c 5.987
_cell_angle_alpha 90.00
_cell_angle_beta 90.00
_cell_angle_gamma 90.00
loop_
_symmetry_equiv_pos_as_xyz
'x,y,z'
'-x,-y,-z'
'-x+1/2,-y,z+1/2'
'x+1/2,y,-z+1/2'
'x+1/2,-y+1/2,-z+1/2'
'-x+1/2,y+1/2,z+1/2'
'-x,y+1/2,-z'
'x,-y+1/2,z'
loop_
_atom_site_label
_atom_site_fract_x
_atom_site_fract_y
_atom_site_fract_z
La1 0.019 0.250 0.158
Ta1 0.060 0.750 0.328
Ta2 0.214 0.022 0.634
# **Calculated density**: 13.09 g cm⁻³
# **DFT formation energy**: 0.523 eV per atom

***

(3)
# LaTa2 GGA-PBE relaxed
data_LaTa2
_chemical_formula_sum 'La4 Ta8'
_symmetry_space_group_name_H-M 'C 1 m 1'
_symmetry_Int_Tables_number 8
_cell_length_a 11.451
_cell_length_b 2.995
_cell_length_c 8.429
_cell_angle_alpha 90.00
_cell_angle_beta 91.30
_cell_angle_gamma 90.00
loop_
_symmetry_equiv_pos_as_xyz
'x,y,z'
'x,-y,z'
'x+1/2,y+1/2,z'
'x+1/2,-y+1/2,z'
loop_
_atom_site_label
_atom_site_fract_x
_atom_site_fract_y
_atom_site_fract_z
La1 0.000 0.000 0.000
La2 0.237 0.000 0.715
Ta1 0.131 0.500 0.362
Ta2 0.249 0.500 0.083
Ta3 0.361 0.000 0.333
Ta4 0.482 0.500 0.568
# **Calculated density**: 11.51 g cm⁻³
# **DFT formation energy**: 0.503 eV per atom
# **Excess energy over the best structure of this formula in the dataset**: 192 meV per atom

***

(4)
# LaTa8 GGA-PBE relaxed
data_LaTa8
_chemical_formula_sum 'La2 Ta16'
_symmetry_space_group_name_H-M 'I 4/m m m'
_symmetry_Int_Tables_number 139
_symmetry_space_group_name_Hall '-I 4 2'
_cell_length_a 8.619
_cell_length_b 8.619
_cell_length_c 4.766
_cell_angle_alpha 90.00
_cell_angle_beta 90.00
_cell_angle_gamma 90.00
loop_
_atom_site_label
_atom_site_fract_x
_atom_site_fract_y
_atom_site_fract_z
La1 0.000 0.000 0.000
Ta1 0.000 0.342 0.000
Ta2 0.175 0.175 0.500
# **Calculated density**: 14.88 g cm⁻³
# **DFT formation energy**: 0.385 eV per atom

***

(5)
# LaTa2 GGA-PBE relaxed
data_LaTa2
_chemical_formula_sum 'La4 Ta8'
_symmetry_space_group_name_H-M 'I 41/a m d'
_symmetry_Int_Tables_number 141
_cell_length_a 4.280
_cell_length_b 4.280
_cell_length_c 16.943
_cell_angle_alpha 90.00
_cell_angle_beta 90.00
_cell_angle_gamma 90.00
loop_
_symmetry_equiv_pos_as_xyz
'x,y,z'
'-x,-y,-z'
'-y+1/4,x+3/4,z+1/4'
'y+1/4,-x+3/4,-z+1/4'
'-x+1/2,-y,z+1/2'
'x+1/2,y,-z+1/2'
'y+1/4,-x+1/4,z+3/4'
'-y+1/4,x+1/4,-z+3/4'
'x,-y,-z'
'-x,y,z'
'-y+1/4,-x+1/4,-z+3/4'
'y+1/4,x+1/4,z+3/4'
'-x+1/2,y,-z+1/2'
'x+1/2,-y,z+1/2'
'y+1/4,x+3/4,-z+1/4'
'-y+1/4,-x+3/4,z+1/4'
'x+1/2,y+1/2,z+1/2'
'-x+1/2,-y+1/2,-z+1/2'
'-y+3/4,x+1/4,z+3/4'
'y+3/4,-x+1/4,-z+3/4'
'-x,-y+1/2,z'
'x,y+1/2,-z'
'y+3/4,-x+3/4,z+1/4'
'-y+3/4,x+3/4,-z+1/4'
'x+1/2,-y+1/2,-z+1/2'
'-x+1/2,y+1/2,z+1/2'
'-y+3/4,-x+3/4,-z+1/4'
'y+3/4,x+3/4,z+1/4'
'-x,y+1/2,-z'
'x,-y+1/2,z'
'y+3/4,x+1/4,-z+3/4'
'-y+3/4,-x+1/4,z+3/4'
loop_
_atom_site_label
_atom_site_fract_x
_atom_site_fract_y
_atom_site_fract_z
La1 0.000 0.250 0.375
Ta1 0.000 0.250 0.796
# **Calculated density**: 10.72 g cm⁻³
# **DFT formation energy**: 0.838 eV per atom
# **Excess energy over the best structure of this formula in the dataset**: 527 meV per atom

***

(6)
# LaTa3 GGA-PBE relaxed
data_LaTa3
_chemical_formula_sum 'La4 Ta12'
_symmetry_space_group_name_H-M 'I 4/m m m'
_symmetry_Int_Tables_number 139
_symmetry_space_group_name_Hall '-I 4 2'
_cell_length_a 4.309
_cell_length_b 4.309
_cell_length_c 18.646
_cell_angle_alpha 90.00
_cell_angle_beta 90.00
_cell_angle_gamma 90.00
loop_
_atom_site_label
_atom_site_fract_x
_atom_site_fract_y
_atom_site_fract_z
La1 0.000 0.000 0.132
Ta1 0.000 0.000 0.393
Ta2 0.000 0.500 0.000
Ta3 0.000 0.500 0.250
# **Calculated density**: 13.08 g cm⁻³
# **DFT formation energy**: 0.714 eV per atom

***

(7)
# LaTa3 GGA-PBE relaxed
data_LaTa3
_chemical_formula_sum 'La2 Ta6'
_symmetry_space_group_name_H-M 'C 1 2/m 1'
_symmetry_Int_Tables_number 12
_cell_length_a 9.474
_cell_length_b 2.929
_cell_length_c 6.309
_cell_angle_alpha 90.00
_cell_angle_beta 91.99
_cell_angle_gamma 90.00
loop_
_symmetry_equiv_pos_as_xyz
'x,y,z'
'-x,-y,-z'
'-x,y,-z'
'x,-y,z'
'x+1/2,y+1/2,z'
'-x+1/2,-y+1/2,-z'
'-x+1/2,y+1/2,-z'
'x+1/2,-y+1/2,z'
loop_
_atom_site_label
_atom_site_fract_x
_atom_site_fract_y
_atom_site_fract_z
La1 0.000 0.000 0.000
Ta1 0.000 0.500 0.500
Ta2 0.239 0.000 0.706
# **Calculated density**: 12.94 g cm⁻³
# **DFT formation energy**: 0.481 eV per atom

***

(8)
# La5Ta GGA-PBE relaxed
data_La5Ta
_chemical_formula_sum 'La20 Ta4'
_symmetry_space_group_name_H-M 'F -4 3 m'
_symmetry_Int_Tables_number 216
_symmetry_space_group_name_Hall 'F -4 2 3'
_cell_length_a 9.140
_cell_length_b 9.140
_cell_length_c 9.140
_cell_angle_alpha 90.00
_cell_angle_beta 90.00
_cell_angle_gamma 90.00
loop_
_atom_site_label
_atom_site_fract_x
_atom_site_fract_y
_atom_site_fract_z
La1 0.000 0.000 0.000
La2 0.122 0.122 0.622
Ta1 0.250 0.250 0.250
# **Calculated density**: 7.62 g cm⁻³
# **DFT formation energy**: 0.655 eV per atom
# **Excess energy over the best structure of this formula in the dataset**: 405 meV per atom

***

(9)
# LaTa2 GGA-PBE relaxed
data_LaTa2
_chemical_formula_sum 'La1 Ta2'
_symmetry_space_group_name_H-M 'P 6/m m m'
_symmetry_Int_Tables_number 191
_symmetry_space_group_name_Hall '-P 6 2'
_cell_length_a 5.0745
_cell_length_b 5.0745
_cell_length_c 3.1380
_cell_angle_alpha 90.00
_cell_angle_beta 90.00
_cell_angle_gamma 120.00
loop_
_atom_site_label
_atom_site_fract_x
_atom_site_fract_y
_atom_site_fract_z
La1 0.0000 0.0000 0.0000
Ta1 0.3333 0.6667 0.5000
# **Calculated density**: 11.88 g cm⁻³
# **DFT formation energy**: 0.648 eV per atom
# **Excess energy over the best structure of this formula in the dataset**: 337 meV per atom

***

(10)
# LaTa3 GGA-PBE relaxed
data_LaTa3
_chemical_formula_sum 'La4 Ta12'
_symmetry_space_group_name_H-M 'F m -3 m'
_symmetry_Int_Tables_number 225
_symmetry_space_group_name_Hall '-F 4 2 3'
_cell_length_a 6.930
_cell_length_b 6.930
_cell_length_c 6.930
_cell_angle_alpha 90.00
_cell_angle_beta 90.00
_cell_angle_gamma 90.00
loop_
_atom_site_label
_atom_site_fract_x
_atom_site_fract_y
_atom_site_fract_z
La1 0.000 0.000 0.000
Ta1 0.000 0.000 0.500
Ta2 0.250 0.250 0.250
# **Calculated density**: 13.61 g cm⁻³
# **DFT formation energy**: 0.513 eV per atom

***

(11)
# LaTa3 GGA-PBE relaxed
data_LaTa3
_chemical_formula_sum 'La1 Ta3'
_symmetry_space_group_name_H-M 'P 4/m m m'
_symmetry_Int_Tables_number 123
_symmetry_space_group_name_Hall '-P 4 2'
_cell_length_a 3.393
_cell_length_b 3.393
_cell_length_c 7.732
_cell_angle_alpha 90.00
_cell_angle_beta 90.00
_cell_angle_gamma 90.00
loop_
_atom_site_label
_atom_site_fract_x
_atom_site_fract_y
_atom_site_fract_z
La1 0.000 0.000 0.000
Ta1 0.000 0.000 0.500
Ta2 0.500 0.500 0.309
# **Calculated density**: 12.72 g cm⁻³
# **DFT formation energy**: 0.302 eV per atom

***

(12)
# La3Ta5 GGA-PBE relaxed
data_La3Ta5
_chemical_formula_sum 'La6 Ta10'
_symmetry_space_group_name_H-M 'C m m m'
_symmetry_Int_Tables_number 65
_symmetry_space_group_name_Hall '-C 2 2'
_cell_length_a 7.529
_cell_length_b 9.906
_cell_length_c 4.973
_cell_angle_alpha 90.00
_cell_angle_beta 90.00
_cell_angle_gamma 90.00
loop_
_atom_site_label
_atom_site_fract_x
_atom_site_fract_y
_atom_site_fract_z
La1 0.000 0.000 0.000
La2 0.000 0.231 0.500
Ta1 0.000 0.500 0.000
Ta2 0.183 0.500 0.500
Ta3 0.250 0.250 0.000
# **Calculated density**: 11.83 g cm⁻³
# **DFT formation energy**: 0.633 eV per atom

***

Number 1: VASP energy -0.657 Ry per atom, size of the total moment 0.00 μB per atom. Number 2: VASP energy -0.705 Ry per atom, size of the total moment 0.00 μB per atom. Number 3: VASP energy -0.665 Ry per atom, size of the total moment 0.00 μB per atom. Number 4: VASP energy -0.786 Ry per atom, size of the total moment 0.00 μB per atom. Number 5: VASP energy -0.640 Ry per atom, size of the total moment 0.00 μB per atom. Number 6: VASP energy -0.691 Ry per atom, size of the total moment 0.00 μB per atom. Number 7: VASP energy -0.709 Ry per atom, size of the total moment 0.00 μB per atom. Number 8: VASP energy -0.399 Ry per atom, size of the total moment 0.23 μB per atom. Number 9: VASP energy -0.654 Ry per atom, size of the total moment 0.00 μB per atom. Number 10: VASP energy -0.706 Ry per atom, size of the total moment 0.00 μB per atom. Number 11: VASP energy -0.722 Ry per atom, size of the total moment 0.00 μB per atom. Number 12: VASP energy -0.634 Ry per atom, size of the total moment 0.00 μB per atom.